--- 1 ---
## Tb4DyTm (PBE)

Data for crystalline Tb4DyTm at its relaxed geometry.

Lattice parameters (Å, degrees): 6.084 5.660 11.812 103.87 104.92 90.00
Fractional positions:
1 Tb 0.348 0.911 0.322
2 Tb 0.974 0.411 0.322
3 Tb 0.756 0.831 0.163
4 Tb 0.407 0.331 0.163
5 Tb 0.244 0.169 0.837
6 Tb 0.593 0.669 0.837
7 Tb 0.652 0.089 0.678
8 Tb 0.026 0.589 0.678
9 Dy 0.500 0.500 0.500
10 Dy 0.000 0.000 0.500
11 Tm 0.171 0.750 0.000
12 Tm 0.829 0.250 0.000

Space-group type: Imma, No. 74
Spin magnetization: 0.0 μB/f.u.

---

--- 2 ---
## Tb4DyTm (PBE)

Data for crystalline Tb4DyTm at its relaxed geometry.

Lattice parameters (Å, degrees): 3.531 9.365 11.758 148.74 90.18 100.75
Fractional positions:
1 Tb 0.834 0.668 0.500
2 Tb 0.166 0.332 0.500
3 Tb 0.333 0.665 0.999
4 Tb 0.667 0.335 0.001
5 Dy 0.000 0.000 0.000
6 Tm 0.500 0.000 0.500

Space-group type: P-1, No. 2
Spin magnetization: 0.0 μB/f.u.

---

Which structure is most stable, and how do the rest compare? From most to least stable: 2, 1.

---

--- 1 ---
## TbDy5Tm3 (PBE)

Data for crystalline TbDy5Tm3 at its relaxed geometry.

Lattice parameters (Å, degrees): 9.227 9.227 12.668 51.45 51.45 50.85
Fractional positions:
1 Tb 0.894 0.894 0.872
2 Tb 0.106 0.106 0.128
3 Dy 0.921 0.508 0.221
4 Dy 0.320 0.680 0.000
5 Dy 0.632 0.632 0.068
6 Dy 0.442 0.442 0.432
7 Dy 0.558 0.558 0.568
8 Dy 0.368 0.368 0.932
9 Dy 0.508 0.921 0.221
10 Dy 0.680 0.320 0.000
11 Dy 0.079 0.492 0.779
12 Dy 0.492 0.079 0.779
13 Tm 0.698 0.698 0.683
14 Tm 0.835 0.835 0.338
15 Tm 0.000 0.000 0.000
16 Tm 0.000 0.000 0.500
17 Tm 0.302 0.302 0.317
18 Tm 0.165 0.165 0.662

Space-group type: C2/m, No. 12
Spin magnetization: 0.0 μB/f.u.

---

--- 2 ---
## TbDy5Tm3 (PBE)

Data for crystalline TbDy5Tm3 at its relaxed geometry.

Lattice parameters (Å, degrees): 9.152 10.363 7.179 110.27 90.00 116.20
Fractional positions:
1 Tb 0.700 0.000 0.750
2 Tb 0.300 0.000 0.250
3 Dy 0.334 0.000 0.750
4 Dy 0.516 0.673 0.835
5 Dy 0.843 0.327 0.162
6 Dy 0.484 0.327 0.165
7 Dy 0.516 0.673 0.338
8 Dy 0.666 0.000 0.250
9 Dy 0.157 0.673 0.335
10 Dy 0.843 0.327 0.665
11 Dy 0.484 0.327 0.662
12 Dy 0.157 0.673 0.838
13 Tm 0.000 0.000 0.000
14 Tm 0.819 0.635 0.568
15 Tm 0.000 0.000 0.500
16 Tm 0.181 0.365 0.432
17 Tm 0.816 0.635 0.068
18 Tm 0.184 0.365 0.932

Space-group type: Imma, No. 74
Spin magnetization: 0.0 μB/f.u.

---

Which structure is most stable, and how do the rest compare? From most to least stable: 2, 1.

---

--- 1 ---
## Tb2Dy3Tm5 (PBE)

Data for crystalline Tb2Dy3Tm5 at its relaxed geometry.

Lattice parameters (Å, degrees): 9.377 9.362 10.968 125.70 125.73 68.49
Fractional positions:
1 Tb 0.768 0.027 0.747
2 Tb 0.232 0.973 0.253
3 Tb 0.479 0.720 0.747
4 Tb 0.521 0.280 0.253
5 Dy 0.229 0.979 0.958
6 Dy 0.771 0.021 0.042
7 Dy 0.725 0.484 0.257
8 Dy 0.275 0.516 0.743
9 Dy 0.033 0.773 0.257
10 Dy 0.967 0.227 0.743
11 Tm 0.269 0.519 0.039
12 Tm 0.731 0.481 0.961
13 Tm 0.027 0.777 0.554
14 Tm 0.524 0.274 0.549
15 Tm 0.973 0.223 0.446
16 Tm 0.476 0.726 0.451
17 Tm 0.877 0.625 0.734
18 Tm 0.123 0.375 0.266
19 Tm 0.357 0.110 0.734
20 Tm 0.643 0.890 0.266

Space-group type: C2/c, No. 15
Spin magnetization: 0.0 μB/f.u.

---

--- 2 ---
## Tb2Dy3Tm5 (PBE)

Data for crystalline Tb2Dy3Tm5 at its relaxed geometry.

Lattice parameters (Å, degrees): 6.196 10.954 10.954 99.89 73.57 73.57
Fractional positions:
1 Tb 0.102 0.742 0.055
2 Tb 0.898 0.258 0.945
3 Tb 0.602 0.055 0.742
4 Tb 0.398 0.945 0.258
5 Dy 0.250 0.000 0.000
6 Dy 0.750 0.000 0.000
7 Dy 0.341 0.408 0.910
8 Dy 0.659 0.592 0.090
9 Dy 0.841 0.910 0.408
10 Dy 0.159 0.090 0.592
11 Tm 0.250 0.500 0.500
12 Tm 0.750 0.500 0.500
13 Tm 0.502 0.748 0.748
14 Tm 0.998 0.252 0.252
15 Tm 0.498 0.252 0.252
16 Tm 0.002 0.748 0.748
17 Tm 0.098 0.558 0.246
18 Tm 0.902 0.442 0.754
19 Tm 0.598 0.246 0.558
20 Tm 0.402 0.754 0.442

Space-group type: Ibam, No. 72
Spin magnetization: 0.0 μB/f.u.

---

Which structure is most stable, and how do the rest compare? From most to least stable: 1, 2.